(1)
VASP calculation (GGA-PBEsol) on a relaxed structure of RbSi2Ru.

It has space group Fm-3m (No. 225), with a = 6.529 Å, b = 6.529 Å, c = 6.529 Å, α = 90.00°, β = 90.00° and γ = 90.00°. The asymmetric unit holds Rb at (0.000, 0.000, 0.000), Si at (0.250, 0.250, 0.250) and Ru at (0.000, 0.000, 0.500).

The uncorrected formation energy comes out at 883 meV per atom.

=====

(2)
VASP calculation (GGA-PBEsol) on a relaxed structure of As2PbAu.

It has space group P4/mmm (No. 123), with a = 3.622 Å, b = 3.622 Å, c = 6.542 Å, α = 90.00°, β = 90.00° and γ = 90.00°. The asymmetric unit holds As at (0.000, 0.000, 0.188), Pb at (0.500, 0.500, 0.500) and Au at (0.500, 0.500, 0.000).

Its total energy is -4.363 eV/atom.

=====

(3)
VASP calculation (GGA-PBEsol) on a relaxed structure of InFeWO2.

It has space group P4/mmm (No. 123), with a = 3.761 Å, b = 3.761 Å, c = 4.797 Å, α = 90.00°, β = 90.00° and γ = 90.00°. The asymmetric unit holds In at (0.000, 0.000, 0.000), Fe at (0.500, 0.500, 0.500), W at (0.500, 0.500, 0.000) and O at (0.000, 0.500, 0.500).

The uncorrected formation energy comes out at 285 meV per atom.

=====

(4)
VASP calculation (GGA-PBEsol) on a relaxed structure of SiHg5.

It has space group P4/mmm (No. 123), with a = 2.977 Å, b = 2.977 Å, c = 14.896 Å, α = 90.00°, β = 90.00° and γ = 90.00°. The asymmetric unit holds Si at (0.000, 0.000, 0.000), Hg at (0.000, 0.000, 0.323), Hg at (0.500, 0.500, 0.148) and Hg at (0.500, 0.500, 0.500).

The uncorrected formation energy comes out at 196 meV per atom.

=====

Copy entry 4 word for word.
VASP calculation (GGA-PBEsol) on a relaxed structure of SiHg5.

It has space group P4/mmm (No. 123), with a = 2.977 Å, b = 2.977 Å, c = 14.896 Å, α = 90.00°, β = 90.00° and γ = 90.00°. The asymmetric unit holds Si at (0.000, 0.000, 0.000), Hg at (0.000, 0.000, 0.323), Hg at (0.500, 0.500, 0.148) and Hg at (0.500, 0.500, 0.500).

The uncorrected formation energy comes out at 196 meV per atom.

=====

Copy entry 1 word for word.
VASP calculation (GGA-PBEsol) on a relaxed structure of RbSi2Ru.

It has space group Fm-3m (No. 225), with a = 6.529 Å, b = 6.529 Å, c = 6.529 Å, α = 90.00°, β = 90.00° and γ = 90.00°. The asymmetric unit holds Rb at (0.000, 0.000, 0.000), Si at (0.250, 0.250, 0.250) and Ru at (0.000, 0.000, 0.500).

The uncorrected formation energy comes out at 883 meV per atom.